GdPuTl: optimized geometry, GGA-PBE.

Lattice parameters (Å, degrees): 7.8177 7.8177 7.8177 154.92 154.92 35.76
Fractional coordinates of all 3 atoms:
Gd 0.0000 0.0000 0.0000
Pu 0.3172 0.3172 0.0000
Tl 0.6578 0.6578 0.0000

Output
**DFT formation energy**: -0.0233 eV/atom


Ca3Zn: optimized geometry, GGA-PBE.

Lattice parameters (Å, degrees): 5.6336 5.6336 5.6336 60.00 60.00 60.00
Fractional coordinates of all 4 atoms:
Ca 0.0000 0.0000 0.0000
Ca 0.2500 0.2500 0.2500
Ca 0.7500 0.7500 0.7500
Zn 0.5000 0.5000 0.5000

Output
**DFT formation energy**: 0.0412 eV/atom


| no. | calculated density (g/cm3) | D(E_F) (states/eV/atom) |
| --- | --- | --- |
| 1 | 11.73 | 3.0384 |
| 2 | 2.44 | 1.4873 |